# ZrWN2F

A relaxed ZrWN2F crystal (PBE with a Hubbard U, the Alexandria database).

Symmetry ... No. 123
DOS at the Fermi energy ... 1.4 states/eV/cell
Electronic total energy ... -7.110 eV/atom
Volume ... 74.0 Å³ per cell
Excess energy over the best structure of this formula in the dataset ... 0.43 eV/f.u.

Cell and atoms, written as POSCAR:
```
ZrWN2F
1.0
4.297 0.000 0.000
0.000 4.297 0.000
0.000 0.000 4.008
Zr W N F
1 1 2 1
Cartesian
0.000 0.000 0.000 Zr
2.148 2.148 2.004 W
0.000 2.148 0.000 N
2.148 0.000 0.000 N
0.000 0.000 2.004 F
```